CsAc3B4O12 PBE-GGA relaxed; total magnetic moment = 0.102 μB per atom; volume = 17.45 Å³/atom; formation energy (no corrections) = -2.667 eV/atom; crystal system = trigonal
1.0
7.117 0.305 0.423
-1.419 6.981 0.423
-1.419 -1.815 6.754
B O Ac Cs
4 12 3 1
direct
0.500 0.976 0.024
0.976 0.024 0.500
0.500 0.500 0.500
0.024 0.500 0.976
0.896 0.500 0.104
0.569 0.809 0.981
0.981 0.569 0.809
0.372 0.628 0.500
0.019 0.191 0.431
0.500 0.372 0.628
0.191 0.431 0.019
0.431 0.019 0.191
0.809 0.981 0.569
0.628 0.500 0.372
0.104 0.896 0.500
0.500 0.104 0.896
0.000 0.533 0.467
0.467 0.000 0.533
0.533 0.467 0.000
0.000 0.000 0.000

---

Cs2AcBS4 PBE-GGA relaxed; total magnetic moment = 0.000 μB per atom; volume = 38.51 Å³/atom; formation energy (no corrections) = -1.043 eV/atom; crystal system = orthorhombic
1.0
6.315 0.000 0.000
3.158 7.313 0.000
3.158 0.000 13.339
Cs S B Ac
4 8 2 2
direct
0.931 0.500 0.138
0.819 0.000 0.362
0.181 0.000 0.638
0.569 0.500 0.862
0.381 0.831 0.091
0.961 0.669 0.591
0.529 0.169 0.091
0.789 0.831 0.909
0.369 0.669 0.409
0.221 0.331 0.409
0.448 0.331 0.591
0.302 0.169 0.909
0.250 0.500 0.500
0.500 0.000 0.000
0.000 0.000 0.000
0.750 0.500 0.500

---

CsAc2B2S6 PBE-GGA relaxed; total magnetic moment = 0.000 μB per atom; volume = 30.31 Å³/atom; formation energy (no corrections) = -1.243 eV/atom; crystal system = triclinic
1.0
-1.016 5.711 0.780
-5.841 1.430 -0.327
1.550 -1.608 10.350
S Ac B Cs
6 2 2 1
direct
0.690 0.584 0.169
0.310 0.416 0.831
0.216 0.165 0.098
0.905 0.164 0.337
0.095 0.836 0.663
0.784 0.835 0.902
0.865 0.286 0.880
0.135 0.714 0.120
0.066 0.694 0.790
0.934 0.306 0.210
0.500 0.000 0.500

---

Cs2AcB2Se6 PBE-GGA relaxed; total magnetic moment = 0.000 μB per atom; volume = 36.18 Å³/atom; formation energy (no corrections) = -0.822 eV/atom; crystal system = monoclinic
1.0
7.295 0.000 0.000
-3.648 6.311 -0.245
0.000 -3.883 8.795
B Se Cs Ac
2 6 2 1
direct
0.090 0.180 0.269
0.910 0.820 0.731
0.223 0.983 0.744
0.760 0.983 0.744
0.760 0.521 0.746
0.240 0.479 0.254
0.777 0.017 0.256
0.240 0.017 0.256
0.709 0.417 0.125
0.291 0.583 0.875
0.500 0.000 0.500